Compound: Sr5Ir
Source: Alexandria via LeMat-Bulk
Functional: PBEsol
Structure: optimized geometry

The structure belongs to space group P4/mmm (No. 123); the cell edges are 3.780, 3.780 and 16.639 Å and the angles 90.00°, 90.00° and 90.00°. The inequivalent atoms are Sr at (0.000, 0.000, 0.000), Sr at (0.000, 0.000, 0.402), Sr at (0.500, 0.500, 0.196) and Ir at (0.500, 0.500, 0.500).

Its calculated density is 4.4 g/cm³. For the distance to the lowest polymorph of the same formula, the calculation gives 54.7 meV/atom. The calculation puts the volume at 39.6 Å³ per atom. For the spin magnetization, the calculation gives 0.003 μB per formula unit. As for the total energy: -3.11 eV/atom.



Compound: SrIr3
Source: Alexandria via LeMat-Bulk
Functional: PBEsol
Structure: optimized geometry

The structure belongs to space group P4/mmm (No. 123); the cell edges are 2.851, 2.851 and 8.383 Å and the angles 90.00°, 90.00° and 90.00°. The inequivalent atoms are Sr at (0.000, 0.000, 0.000), Ir at (0.000, 0.000, 0.500) and Ir at (0.500, 0.500, 0.293).

Its calculated density is 16.2 g/cm³. The calculation puts the volume at 17.0 Å³ per atom. For the spin magnetization, the calculation gives 0.000 μB per formula unit. As for the total energy: -7.56 eV/atom.



Compound: Sr5Ir
Source: Alexandria via LeMat-Bulk
Functional: PBEsol
Structure: optimized geometry

The structure belongs to space group C2/m (No. 12); the cell edges are 13.874, 3.865 and 9.998 Å and the angles 90.00°, 114.87° and 90.00°. The inequivalent atoms are Sr at (0.000, 0.000, 0.000), Sr at (0.114, 0.500, 0.388), Sr at (0.161, 0.500, 0.762) and Ir at (0.000, 0.000, 0.500).

Its calculated density is 4.3 g/cm³. For the distance to the lowest polymorph of the same formula, the calculation gives 0.0 meV/atom. The calculation puts the volume at 40.5 Å³ per atom. For the spin magnetization, the calculation gives 0.000 μB per formula unit. As for the total energy: -3.16 eV/atom.



Compound: SrTa2Ir
Source: Alexandria via LeMat-Bulk
Functional: PBEsol
Structure: optimized geometry

The structure belongs to space group C2/m (No. 12); the cell edges are 11.626, 2.954 and 5.130 Å and the angles 90.00°, 110.36° and 90.00°. The inequivalent atoms are Sr at (0.000, 0.000, 0.000), Ta at (0.205, 0.000, 0.685) and Ir at (0.000, 0.500, 0.500).

Its calculated density is 12.9 g/cm³. For the distance to the lowest polymorph of the same formula, the calculation gives 0.0 meV/atom. The calculation puts the volume at 20.7 Å³ per atom. For the spin magnetization, the calculation gives 0.000 μB per formula unit. As for the total energy: -8.92 eV/atom.



Compound: Sr2TaIr
Source: Alexandria via LeMat-Bulk
Functional: PBEsol
Structure: optimized geometry

The structure belongs to space group Immm (No. 71); the cell edges are 3.446, 3.890 and 18.106 Å and the angles 90.00°, 90.00° and 90.00°. The inequivalent atoms are Sr at (0.000, 0.000, 0.150), Ta at (0.000, 0.500, 0.000) and Ir at (0.000, 0.500, 0.500).

Its calculated density is 7.5 g/cm³. The calculation puts the volume at 30.3 Å³ per atom. For the spin magnetization, the calculation gives 0.008 μB per formula unit. As for the total energy: -6.35 eV/atom.



Compound: SrTa2Ir2
Source: Alexandria via LeMat-Bulk
Functional: PBEsol
Structure: optimized geometry

The structure belongs to space group I4/mmm (No. 139); the cell edges are 4.443, 4.443 and 10.546 Å and the angles 90.00°, 90.00° and 90.00°. The inequivalent atoms are Sr at (0.000, 0.000, 0.000), Ta at (0.000, 0.500, 0.250) and Ir at (0.000, 0.000, 0.373).

Its calculated density is 13.3 g/cm³. The calculation puts the volume at 20.8 Å³ per atom. For the spin magnetization, the calculation gives 0.000 μB per formula unit. As for the total energy: -9.74 eV/atom.



Compound: SrTa2Ir
Source: Alexandria via LeMat-Bulk
Functional: PBEsol
Structure: optimized geometry

The structure belongs to space group Cm (No. 8); the cell edges are 9.955, 3.032 and 6.019 Å and the angles 90.00°, 103.64° and 90.00°. The inequivalent atoms are Sr at (0.000, 0.000, 0.000), Ta at (0.202, 0.000, 0.637), Ta at (0.471, 0.000, 0.474) and Ir at (0.257, 0.500, 0.317).

Its calculated density is 12.1 g/cm³. For the distance to the lowest polymorph of the same formula, the calculation gives 145.7 meV/atom. The calculation puts the volume at 22.1 Å³ per atom. For the spin magnetization, the calculation gives 0.000 μB per formula unit. As for the total energy: -8.77 eV/atom.



Compound: SrTa2Ir
Source: Alexandria via LeMat-Bulk
Functional: PBEsol
Structure: optimized geometry

The structure belongs to space group Cmmm (No. 65); the cell edges are 5.492, 9.723 and 2.831 Å and the angles 90.00°, 90.00° and 90.00°. The inequivalent atoms are Sr at (0.000, 0.000, 0.000), Ta at (0.250, 0.250, 0.500) and Ir at (0.000, 0.500, 0.000).

Its calculated density is 14.1 g/cm³. For the distance to the lowest polymorph of the same formula, the calculation gives 464.7 meV/atom. The calculation puts the volume at 18.9 Å³ per atom. For the spin magnetization, the calculation gives 0.000 μB per formula unit. As for the total energy: -8.45 eV/atom.



Compound: SrTaIr2
Source: Alexandria via LeMat-Bulk
Functional: PBEsol
Structure: optimized geometry

The structure belongs to space group F-43m (No. 216); the cell edges are 6.518, 6.518 and 6.518 Å and the angles 90.00°, 90.00° and 90.00°. The inequivalent atoms are Sr at (0.000, 0.000, 0.000), Ta at (0.250, 0.250, 0.250), Ir at (0.000, 0.000, 0.500) and Ir at (0.250, 0.250, 0.750).

Its calculated density is 15.7 g/cm³. The calculation puts the volume at 17.3 Å³ per atom. For the spin magnetization, the calculation gives 0.000 μB per formula unit. As for the total energy: -7.97 eV/atom.



Compound: SrTa4Ir
Source: Alexandria via LeMat-Bulk
Functional: PBEsol
Structure: optimized geometry

The structure belongs to space group F-43m (No. 216); the cell edges are 7.765, 7.765 and 7.765 Å and the angles 90.00°, 90.00° and 90.00°. The inequivalent atoms are Sr at (0.000, 0.000, 0.000), Ta at (0.125, 0.125, 0.375) and Ir at (0.250, 0.250, 0.750).

Its calculated density is 14.2 g/cm³. The calculation puts the volume at 19.5 Å³ per atom. For the spin magnetization, the calculation gives 0.000 μB per formula unit. As for the total energy: -9.70 eV/atom.



Compound: SrTcIr2
Source: Alexandria via LeMat-Bulk
Functional: PBEsol
Structure: optimized geometry

The structure belongs to space group Immm (No. 71); the cell edges are 3.560, 4.953 and 8.400 Å and the angles 90.00°, 90.00° and 90.00°. The inequivalent atoms are Sr at (0.000, 0.000, 0.000), Tc at (0.000, 0.000, 0.500) and Ir at (0.000, 0.500, 0.206).

Its calculated density is 12.8 g/cm³. For the distance to the lowest polymorph of the same formula, the calculation gives 515.1 meV/atom. The calculation puts the volume at 18.5 Å³ per atom. For the spin magnetization, the calculation gives 0.000 μB per formula unit. As for the total energy: -7.49 eV/atom.



Compound: SrTcIr2
Source: Alexandria via LeMat-Bulk
Functional: PBEsol
Structure: optimized geometry

The structure belongs to space group Pm (No. 6); the cell edges are 2.805, 4.364 and 6.054 Å and the angles 90.00°, 101.52° and 90.00°. The inequivalent atoms are Sr at (0.000, 0.000, 0.000), Tc at (0.727, 0.500, 0.376), Ir at (0.299, 0.000, 0.497) and Ir at (0.390, 0.500, 0.745).

Its calculated density is 13.0 g/cm³. For the distance to the lowest polymorph of the same formula, the calculation gives 217.6 meV/atom. The calculation puts the volume at 18.2 Å³ per atom. For the spin magnetization, the calculation gives 0.000 μB per formula unit. As for the total energy: -7.78 eV/atom.



Q: Which calculated formation energy values were calculated for the entries above? A: 0.063 0.266 0.009 0.276 0.164 -0.418 0.421 0.740 0.538 0.614 0.702 0.405, in eV/atom.